VASP calculation (SCAN) on a PBEsol-optimized structure of Nb2HRh.

Summary:
Symmetry: No. 225
Calculated total energy, eV per atom: -25.634
Size of the total moment, μB/atom: 0.000

Cell lengths 4.302, 4.302, 4.302 Å; angles 60.00, 60.00, 60.00 degrees
Fractional positions:
1 H 0.000 0.000 0.000
2 Nb 0.750 0.750 0.750
3 Nb 0.250 0.250 0.250
4 Rh 0.500 0.500 0.500